one | VASP calculation (PBE) on a relaxed structure of Mn2TeBr.

```
Mn2TeBr
1.0
5.052 0.000 0.000
2.526 4.375 0.000
2.526 1.458 4.125
Mn Te Br
2 1 1
Direct
0.000 0.000 0.000
0.750 0.750 0.750
0.250 0.250 0.250
0.500 0.500 0.500
```


two | VASP calculation (PBE) on a relaxed structure of Mn2TeBr.

```
Mn2TeBr
1.0
4.007 0.000 0.000
0.000 6.389 0.000
0.000 0.000 3.783
Mn Br Te
2 1 1
Direct
0.500 0.500 0.000
0.000 0.000 0.000
0.000 0.500 0.500
0.500 0.000 0.500
```


The energetic minimum among the shown structures is two; the next structure lies 0.432 eV/atom above.